(1)
A relaxed SrAcCoN2 crystal, computed with PBE.

abc: 5.342 5.583 7.271
angles: 90.00 90.00 90.00
Atoms (fractional coordinates):
Sr 0.000 0.000 0.250
Sr 0.000 0.000 0.750
Ac 0.500 0.500 0.250
Ac 0.500 0.500 0.750
Co 0.500 0.000 0.000
Co 0.500 0.000 0.500
N 0.279 0.244 0.000
N 0.279 0.756 0.500
N 0.721 0.244 0.500
N 0.721 0.756 0.000

Summary:
* space-group type: No. 49
* E_form (uncorrected): -2.7 eV per formula unit



(2)
A relaxed Li3ZnAg crystal, computed with PBE.

abc: 5.453 4.417 6.747
angles: 90.00 99.11 90.00
Atoms (fractional coordinates):
Li 0.050 0.250 0.341
Li 0.253 0.250 0.743
Li 0.440 0.250 0.151
Li 0.560 0.750 0.849
Li 0.747 0.750 0.257
Li 0.950 0.750 0.659
Zn 0.131 0.750 0.046
Zn 0.869 0.250 0.954
Ag 0.336 0.750 0.441
Ag 0.664 0.250 0.559

Summary:
* formation enthalpy at 0 K: -0.17 eV per atom
* offset from the most stable computed form: 0 meV/atom
* space-group type: No. 11



| no. | magnetic moment (μB/f.u.) | raw total energy (Ha/atom) |
| --- | --- | --- |
| 1 | 2.03 | -0.237 |
| 2 | 0.00 | -0.079 |